Entry 1:
TcP2OsS | Alexandria | PBE-GGA | optimized geometry; SG = No. 123; energy relative to the lowest polymorph listed for this composition = 0.0 meV per atom
1.0
4.438 0.000 0.000
0.000 4.438 0.000
0.000 0.000 5.193
Tc P Os S
1 2 1 1
Cartesian
0.000 0.000 0.000
0.000 2.219 2.596
2.219 0.000 2.596
2.219 2.219 2.596
2.219 2.219 0.000

---

Entry 2:
Na8B11C5 | Alexandria | PBE-GGA | optimized geometry; SG = No. 8; energy relative to the lowest polymorph listed for this composition = 36.5 meV per atom
1.0
8.895 -1.442 0.000
8.895 1.442 0.000
-2.845 0.000 9.652
Na B C
8 11 5
Cartesian
0.000 0.000 0.000
-1.399 0.000 4.831
2.616 0.000 6.021
4.069 0.000 1.200
8.190 0.000 2.414
6.791 0.000 7.253
12.239 0.000 3.603
10.830 0.000 8.441
0.134 0.000 7.033
1.569 0.000 2.202
6.603 0.000 0.189
5.157 0.000 5.101
4.235 0.000 8.221
5.665 0.000 3.396
8.323 0.000 9.445
9.751 0.000 4.618
15.251 0.000 1.033
13.407 0.000 7.281
14.757 0.000 2.728
-0.340 0.000 8.639
1.099 0.000 3.816
9.265 0.000 6.226
10.701 0.000 1.402
13.849 0.000 5.786

---

Entry 3:
BaAgTe3As | Alexandria | PBE-GGA | optimized geometry; SG = No. 11
1.0
8.881 0.000 0.000
0.000 4.464 0.000
-2.665 0.000 9.702
Ba Ag Te As
2 2 6 2
Cartesian
1.077 1.116 2.624
5.139 3.348 7.078
-0.920 1.116 5.736
7.135 3.348 3.966
-1.317 1.116 8.619
0.870 3.348 5.283
3.648 3.348 1.450
2.568 1.116 8.251
5.346 1.116 4.419
7.533 3.348 1.083
0.602 3.348 8.423
5.614 1.116 1.279

---

Number 1: uncorrected energy -6.150 eV/atom. Number 2: uncorrected energy -5.284 eV/atom. Number 3: uncorrected energy -3.724 eV/atom.